The following is a DFT calculation (PBE with a Hubbard U) of an optimized crystal structure of NiP2CO.

```
data_NiP2CO
_chemical_formula_sum 'Ni1 P2 C1 O1'
_cell_length_a 4.4088
_cell_length_b 4.4088
_cell_length_c 3.4125
_cell_angle_alpha 90.00
_cell_angle_beta 90.00
_cell_angle_gamma 90.00
_space_group_name_H-M_alt 'P 4/m m m'
_space_group_IT_number 123
_space_group_name_Hall '-P 4 2'
loop_
_atom_site_label
_atom_site_fract_x
_atom_site_fract_y
_atom_site_fract_z
Ni1 0.0000 0.0000 0.0000
P1 0.0000 0.5000 0.0000
C1 0.5000 0.5000 0.5000
O1 0.0000 0.0000 0.5000
```

Properties
- total DFT energy (no corrections) (eV/atom) = -3.89